Here is a geometry-optimized SrSmHg2 structure from the Alexandria database. Energies are from GGA-PBE.

abc: 3.897 3.897 7.788
angles: 90.00 90.00 90.00
Fractional positions:
Sr  0.000  0.000  0.000
Sm  0.000  0.000  0.500
Hg  0.500  0.500  0.275
Hg  0.500  0.500  0.725

Summary:
V = 29.570 A^3/atom
Energy of formation = -503 meV/atom
Mass density = 9.0 g/cm³